[1]
This record from Alexandria via LeMat-Bulk describes a geometry-optimized Pr2IrAu structure. The functional is PBE-GGA.

Unit cell a=4.558 b=5.954 c=8.042 alpha=111.02 beta=90.00 gamma=90.00
Sites, in units of the cell vectors:
Pr: 0.750 0.235 0.422
Pr: 0.250 0.765 0.578
Pr: 0.250 0.786 0.060
Pr: 0.750 0.214 0.940
Ir: 0.250 0.329 0.210
Ir: 0.750 0.671 0.790
Au: 0.750 0.676 0.291
Au: 0.250 0.324 0.709

Values from the calculation:
Formation enthalpy at 0 K: -0.726 eV per atom
Density of states at the Fermi level: 0.692 states/eV per atom

[2]
This record from Alexandria via LeMat-Bulk describes a geometry-optimized CaTa2Re structure. The functional is PBE-GGA.

Unit cell a=5.596 b=5.596 c=2.744 alpha=90.00 beta=90.00 gamma=118.13
Sites, in units of the cell vectors:
Re: 0.000 0.500 0.500
Ca: 0.500 0.000 0.500
Ta: 0.000 0.000 0.000
Ta: 0.500 0.500 0.000

Values from the calculation:
Formation enthalpy at 0 K: 0.686 eV per atom
Density of states at the Fermi level: 1.147 states/eV per atom
Distance to the lowest polymorph of the same formula: 328.5 meV per atom

[3]
This record from Alexandria via LeMat-Bulk describes a geometry-optimized As2RuSBr structure. The functional is PBE-GGA.

Unit cell a=4.758 b=4.758 c=5.032 alpha=90.00 beta=90.00 gamma=90.00
Sites, in units of the cell vectors:
Ru: 0.000 0.000 0.000
As: 0.000 0.500 0.000
As: 0.500 0.000 0.000
S: 0.500 0.500 0.500
Br: 0.000 0.000 0.500

Values from the calculation:
Density of states at the Fermi level: 1.027 states/eV per atom
Formation energy (no corrections): 0.625 eV per atom
Distance to the lowest polymorph of the same formula: 0.0 meV per atom